Material: ScNi6Ru
Method: DFT, PBEsol
State: optimized geometry

Lattice parameters (Å, degrees): 6.2320 6.2320 10.1803 90.00 90.00 109.60
Positions (direct):
Sc 0.0000 0.0000 0.2502
Sc 0.0000 0.0000 0.7498
Sc 0.2483 0.7517 0.0000
Sc 0.7517 0.2483 0.0000
Ni 0.0000 0.0000 0.0000
Ni 0.0000 0.0000 0.5000
Ni 0.1293 0.3838 0.3779
Ni 0.1293 0.3838 0.6221
Ni 0.1326 0.3796 0.1291
Ni 0.1326 0.3796 0.8709
Ni 0.2548 0.7452 0.2574
Ni 0.2548 0.7452 0.7426
Ni 0.3796 0.1326 0.1291
Ni 0.3796 0.1326 0.8709
Ni 0.3838 0.1293 0.3779
Ni 0.3838 0.1293 0.6221
Ni 0.5000 0.5000 0.0000
Ni 0.5000 0.5000 0.5000
Ni 0.6162 0.8707 0.3779
Ni 0.6162 0.8707 0.6221
Ni 0.6204 0.8674 0.1291
Ni 0.6204 0.8674 0.8709
Ni 0.7452 0.2548 0.2574
Ni 0.7452 0.2548 0.7426
Ni 0.8674 0.6204 0.1291
Ni 0.8674 0.6204 0.8709
Ni 0.8707 0.6162 0.3779
Ni 0.8707 0.6162 0.6221
Ru 0.2409 0.7591 0.5000
Ru 0.5000 0.5000 0.2511
Ru 0.5000 0.5000 0.7489
Ru 0.7591 0.2409 0.5000

Properties
density of states at the Fermi level	10.3	states/eV/f.u.
ΔE_f	-0.13	eV per atom
space-group type	Cmmm, No. 65